(1)
Computed, not measured: a geometry-optimized NiPCl2 structure at the GGA-PBE level of DFT.

energy above the lowest structure with this stoichiometry: 249.3 meV per atom

a b c (Å): 2.9657 3.1796 8.2073
angles (deg): 90.00 90.00 90.00
Space group Pmm2 (No. 25)
Unique sites:
1 Ni 0.0000 0.0000 0.0000 (multiplicity 1)
2 P 0.5000 0.5000 0.9029 (multiplicity 1)
3 Cl 0.0000 0.0000 0.2696 (multiplicity 1)
4 Cl 0.5000 0.5000 0.6571 (multiplicity 1)

(2)
Computed, not measured: a geometry-optimized NiP2Cl8 structure at the GGA-PBE level of DFT.

a b c (Å): 8.5307 10.0290 9.0146
angles (deg): 90.00 95.89 90.00
Space group C2/m (No. 12)
Unique sites:
1 Ni 0.0000 0.0000 0.0000 (multiplicity 2)
2 P 0.1677 0.0000 0.1998 (multiplicity 4)
3 Cl 0.0985 0.5000 0.8216 (multiplicity 4)
4 Cl 0.1479 0.1592 0.3347 (multiplicity 8)
5 Cl 0.1786 0.0000 0.8492 (multiplicity 4)

(3)
Computed, not measured: a geometry-optimized NiPCl2 structure at the GGA-PBE level of DFT.

energy above the lowest structure with this stoichiometry: 263.3 meV per atom

a b c (Å): 3.3208 4.1272 15.3526
angles (deg): 90.00 90.00 90.00
Space group Imm2 (No. 44)
Unique sites:
1 Ni 0.0000 0.0000 0.0000 (multiplicity 2)
2 P 0.0000 0.5000 0.5879 (multiplicity 2)
3 Cl 0.0000 0.0000 0.6590 (multiplicity 2)
4 Cl 0.0000 0.5000 0.4004 (multiplicity 2)

(4)
Computed, not measured: a geometry-optimized NiPCl2 structure at the GGA-PBE level of DFT.

energy above the lowest structure with this stoichiometry: 1265.0 meV per atom

a b c (Å): 6.5135 6.5218 3.0883
angles (deg): 90.00 90.00 90.00
Space group Cmmm (No. 65)
Unique sites:
1 Ni 0.0000 0.0000 0.0000 (multiplicity 2)
2 P 0.0000 0.5000 0.0000 (multiplicity 2)
3 Cl 0.2500 0.2500 0.5000 (multiplicity 4)

(5)
Computed, not measured: a geometry-optimized NiP4Cl structure at the GGA-PBE level of DFT.

a b c (Å): 7.8004 7.8004 7.8004
angles (deg): 90.00 90.00 90.00
Space group F-43m (No. 216)
Unique sites:
1 Ni 0.0000 0.0000 0.0000 (multiplicity 4)
2 P 0.1008 0.1008 0.6008 (multiplicity 16)
3 Cl 0.2500 0.2500 0.2500 (multiplicity 4)

(6)
Computed, not measured: a geometry-optimized NiPCl2 structure at the GGA-PBE level of DFT.

energy above the lowest structure with this stoichiometry: 556.7 meV per atom

a b c (Å): 9.3482 9.3482 4.2200
angles (deg): 90.00 90.00 90.00
Space group I-42d (No. 122)
Unique sites:
1 Ni 0.0000 0.0000 0.0000 (multiplicity 4)
2 P 0.0000 0.0000 0.5000 (multiplicity 4)
3 Cl 0.0021 0.2500 0.1250 (multiplicity 8)

(7)
Computed, not measured: a geometry-optimized NiPCl2 structure at the GGA-PBE level of DFT.

energy above the lowest structure with this stoichiometry: 560.7 meV per atom

a b c (Å): 3.2044 3.4713 14.2012
angles (deg): 90.00 90.00 90.00
Space group Immm (No. 71)
Unique sites:
1 Ni 0.0000 0.0000 0.0000 (multiplicity 2)
2 P 0.0000 0.0000 0.5000 (multiplicity 2)
3 Cl 0.0000 0.5000 0.1448 (multiplicity 4)

(8)
Computed, not measured: a geometry-optimized NiPCl structure at the GGA-PBE level of DFT.

energy above the lowest structure with this stoichiometry: 491.2 meV per atom

a b c (Å): 2.9515 2.9515 11.8202
angles (deg): 90.00 90.00 90.00
Space group I4mm (No. 107)
Unique sites:
1 Ni 0.0000 0.0000 0.0000 (multiplicity 2)
2 P 0.0000 0.0000 0.4007 (multiplicity 2)
3 Cl 0.0000 0.0000 0.6337 (multiplicity 2)

(9)
Computed, not measured: a geometry-optimized NiPCl2 structure at the GGA-PBE level of DFT.

energy above the lowest structure with this stoichiometry: 964.1 meV per atom

a b c (Å): 3.1656 3.1656 24.9889
angles (deg): 90.00 90.00 120.00
Space group R-3m (No. 166, hexagonal axes)
Unique sites:
1 Ni 0.0000 0.0000 0.0000 (multiplicity 3)
2 P 0.0000 0.0000 0.5000 (multiplicity 3)
3 Cl 0.0000 0.0000 0.0841 (multiplicity 6)

(10)
Computed, not measured: a geometry-optimized NiPCl structure at the GGA-PBE level of DFT.

energy above the lowest structure with this stoichiometry: 163.7 meV per atom

a b c (Å): 3.2502 3.2502 6.7185
angles (deg): 90.00 90.00 120.00
Space group P3m1 (No. 156)
Unique sites:
1 Ni 0.0000 0.0000 0.0000 (multiplicity 1)
2 P 0.3333 0.6667 0.1883 (multiplicity 1)
3 Cl 0.6667 0.3333 0.7828 (multiplicity 1)

(11)
Computed, not measured: a geometry-optimized NiPCl2 structure at the GGA-PBE level of DFT.

energy above the lowest structure with this stoichiometry: 635.3 meV per atom

a b c (Å): 3.1010 3.1010 7.6910
angles (deg): 90.00 90.00 90.00
Space group P4mm (No. 99)
Unique sites:
1 Ni 0.0000 0.0000 0.0000 (multiplicity 1)
2 P 0.5000 0.5000 0.1394 (multiplicity 1)
3 Cl 0.0000 0.0000 0.3789 (multiplicity 1)
4 Cl 0.5000 0.5000 0.8097 (multiplicity 1)

(12)
Computed, not measured: a geometry-optimized NiP2PdCl structure at the GGA-PBE level of DFT.

energy above the lowest structure with this stoichiometry: 0.0 meV per atom

a b c (Å): 4.3039 4.3039 4.8460
angles (deg): 90.00 90.00 90.00
Space group P4/mmm (No. 123)
Unique sites:
1 Ni 0.0000 0.0000 0.0000 (multiplicity 1)
2 P 0.0000 0.5000 0.0000 (multiplicity 2)
3 Pd 0.5000 0.5000 0.5000 (multiplicity 1)
4 Cl 0.0000 0.0000 0.5000 (multiplicity 1)

Summary of E_form (uncorrected) in eV per atom
-0.2661; -0.6695; -0.2521; 0.7497; 0.5723; 0.0413; 0.0453; 0.1016; 0.4487; -0.2259; 0.1200; 0.5217
(order as listed above)
Summary of E_tot in eV for the cell shown
-15.9; -77.5; -31.8; -23.8; -103.3; -58.9; -29.4; -25.5; -39.3; -13.7; -14.4; -21.0
(order as listed above)
Summary of spin magnetization in μB/f.u.
0.00; 0.07; 0.00; 0.92; 1.02; 0.00; 0.27; 0.00; 0.50; 0.00; 0.00; 0.00
(order as listed above)